one) Computed, not measured: a relaxed ZrW2Br crystal at the GGA-PBE level of DFT.

Output
Calculated density: 11.47 g/cm³
Symmetry: I-42d (122)

Cell lengths 3.788, 3.788, 21.743 Å; angles 90.00, 90.00, 90.00 degrees
Atoms (fractional coordinates):
Zr: 0.000 0.000 0.000
Zr: 0.000 0.500 0.250
Zr: 0.500 0.000 0.750
Zr: 0.500 0.500 0.500
W: 0.237 0.250 0.125
W: 0.250 0.737 0.375
W: 0.250 0.763 0.875
W: 0.263 0.250 0.625
W: 0.737 0.750 0.625
W: 0.750 0.237 0.875
W: 0.750 0.263 0.375
W: 0.763 0.750 0.125
Br: 0.000 0.000 0.500
Br: 0.000 0.500 0.750
Br: 0.500 0.000 0.250
Br: 0.500 0.500 0.000

=====

two) Computed, not measured: a relaxed ZrW2Br crystal at the GGA-PBE level of DFT.

Output
Calculated density: 11.37 g/cm³
Symmetry: Pmmm (47)

Cell lengths 3.121, 4.532, 5.564 Å; angles 90.00, 90.00, 90.00 degrees
Atoms (fractional coordinates):
Zr: 0.000 0.000 0.000
W: 0.500 0.500 0.212
W: 0.500 0.500 0.788
Br: 0.000 0.000 0.500

=====

three) Computed, not measured: a relaxed ZrW2Br crystal at the GGA-PBE level of DFT.

Output
Calculated density: 12.13 g/cm³
Symmetry: P4/mmm (123)

Cell lengths 3.219, 3.219, 7.117 Å; angles 90.00, 90.00, 90.00 degrees
Atoms (fractional coordinates):
Zr: 0.000 0.000 0.000
W: 0.500 0.500 0.252
W: 0.500 0.500 0.748
Br: 0.000 0.000 0.500

=====

Result of the stability comparison: three) is the least stable of them.

=====

one) Computed, not measured: a relaxed ZrW2Br crystal at the GGA-PBE level of DFT.

Output
Calculated density: 11.90 g/cm³
Symmetry: Cmmm (65)

Cell lengths 3.231, 4.982, 9.341 Å; angles 90.00, 90.00, 90.00 degrees
Atoms (fractional coordinates):
Zr: 0.000 0.000 0.000
Zr: 0.500 0.500 0.000
W: 0.000 0.500 0.248
W: 0.000 0.500 0.752
W: 0.500 0.000 0.248
W: 0.500 0.000 0.752
Br: 0.000 0.000 0.500
Br: 0.500 0.500 0.500

=====

two) Computed, not measured: a relaxed ZrW2Br crystal at the GGA-PBE level of DFT.

Output
Calculated density: 12.10 g/cm³
Symmetry: P4/mmm (123)

Cell lengths 3.799, 3.799, 5.122 Å; angles 90.00, 90.00, 90.00 degrees
Atoms (fractional coordinates):
Zr: 0.000 0.000 0.000
W: 0.000 0.500 0.500
W: 0.500 0.000 0.500
Br: 0.500 0.500 0.000

=====

three) Computed, not measured: a relaxed ZrW2Br crystal at the GGA-PBE level of DFT.

Output
Calculated density: 11.17 g/cm³
Symmetry: Amm2 (38)

Cell lengths 3.217, 3.245, 15.344 Å; angles 90.00, 90.00, 90.00 degrees
Atoms (fractional coordinates):
Zr: 0.000 0.000 0.000
Zr: 0.000 0.500 0.500
W: 0.000 0.000 0.207
W: 0.000 0.500 0.707
W: 0.500 0.000 0.619
W: 0.500 0.500 0.119
Br: 0.500 0.000 0.365
Br: 0.500 0.500 0.865

=====

four) Computed, not measured: a relaxed ZrW2Br crystal at the GGA-PBE level of DFT.

Output
Calculated density: 10.99 g/cm³
Symmetry: Cmm2 (35)

Cell lengths 3.299, 5.087, 9.703 Å; angles 90.00, 90.00, 90.00 degrees
Atoms (fractional coordinates):
Zr: 0.000 0.000 0.000
Zr: 0.500 0.500 0.000
W: 0.000 0.000 0.441
W: 0.000 0.500 0.242
W: 0.500 0.000 0.242
W: 0.500 0.500 0.441
Br: 0.000 0.500 0.775
Br: 0.500 0.000 0.775

=====

Result of the stability comparison: one) is the least stable of them.

=====

one) Computed, not measured: a relaxed Zr2WBr crystal at the GGA-PBE level of DFT.

Output
Calculated density: 9.14 g/cm³
Symmetry: Cm (8)

Cell lengths 10.454, 3.255, 4.785 Å; angles 90.00, 95.60, 90.00 degrees
Atoms (fractional coordinates):
Zr: 0.000 0.000 0.000
Zr: 0.217 0.500 0.560
Zr: 0.500 0.500 0.000
Zr: 0.717 0.000 0.560
W: 0.460 0.000 0.509
W: 0.960 0.500 0.509
Br: 0.269 0.000 0.044
Br: 0.769 0.500 0.044

=====

two) Computed, not measured: a relaxed Zr2WBr crystal at the GGA-PBE level of DFT.

Output
Calculated density: 9.01 g/cm³
Symmetry: Imm2 (44)

Cell lengths 3.372, 4.607, 10.589 Å; angles 90.00, 90.00, 90.00 degrees
Atoms (fractional coordinates):
Zr: 0.000 0.000 0.000
Zr: 0.000 0.500 0.230
Zr: 0.500 0.000 0.730
Zr: 0.500 0.500 0.500
W: 0.000 0.500 0.715
W: 0.500 0.000 0.215
Br: 0.000 0.000 0.427
Br: 0.500 0.500 0.927

=====

three) Computed, not measured: a relaxed Zr2WBr crystal at the GGA-PBE level of DFT.

Output
Calculated density: 7.90 g/cm³
Symmetry: P4mm (99)

Cell lengths 3.029, 3.029, 10.226 Å; angles 90.00, 90.00, 90.00 degrees
Atoms (fractional coordinates):
Zr: 0.000 0.000 0.000
Zr: 0.500 0.500 0.260
W: 0.500 0.500 0.796
Br: 0.000 0.000 0.439

=====

Result of the stability comparison: three) is the least stable of them.

=====

one) Computed, not measured: a relaxed Zr2WBr crystal at the GGA-PBE level of DFT.

Output
Calculated density: 9.26 g/cm³
Symmetry: F-43m (216)

Cell lengths 6.841, 6.841, 6.841 Å; angles 90.00, 90.00, 90.00 degrees
Atoms (fractional coordinates):
Zr: 0.000 0.000 0.000
Zr: 0.000 0.500 0.500
Zr: 0.250 0.250 0.250
Zr: 0.250 0.750 0.750
Zr: 0.500 0.000 0.500
Zr: 0.500 0.500 0.000
Zr: 0.750 0.250 0.750
Zr: 0.750 0.750 0.250
W: 0.250 0.250 0.750
W: 0.250 0.750 0.250
W: 0.750 0.250 0.250
W: 0.750 0.750 0.750
Br: 0.000 0.000 0.500
Br: 0.000 0.500 0.000
Br: 0.500 0.000 0.000
Br: 0.500 0.500 0.500

=====

two) Computed, not measured: a relaxed Zr2WBr crystal at the GGA-PBE level of DFT.

Output
Calculated density: 7.90 g/cm³
Symmetry: P4mm (99)

Cell lengths 3.490, 3.490, 7.698 Å; angles 90.00, 90.00, 90.00 degrees
Atoms (fractional coordinates):
Zr: 0.000 0.000 0.000
Zr: 0.500 0.500 0.226
W: 0.500 0.500 0.841
Br: 0.000 0.000 0.440

=====

three) Computed, not measured: a relaxed Zr2WBr crystal at the GGA-PBE level of DFT.

Output
Calculated density: 8.71 g/cm³
Symmetry: R-3m (166)

Cell lengths 3.371, 3.371, 25.914 Å; angles 90.00, 90.00, 120.00 degrees
Atoms (fractional coordinates):
Zr: 0.000 0.000 0.243
Zr: 0.000 0.000 0.757
Zr: 0.333 0.667 0.423
Zr: 0.333 0.667 0.910
Zr: 0.667 0.333 0.090
Zr: 0.667 0.333 0.577
W: 0.000 0.000 0.500
W: 0.333 0.667 0.167
W: 0.667 0.333 0.833
Br: 0.000 0.000 0.000
Br: 0.333 0.667 0.667
Br: 0.667 0.333 0.333

=====

Result of the stability comparison: one) is the least stable of them.

=====

one) Computed, not measured: a relaxed Zr2WBr crystal at the GGA-PBE level of DFT.

Output
Calculated density: 9.29 g/cm³
Symmetry: C2/m (12)

Cell lengths 6.475, 7.680, 3.248 Å; angles 90.00, 99.18, 90.00 degrees
Atoms (fractional coordinates):
Zr: 0.250 0.250 0.000
Zr: 0.250 0.750 0.000
Zr: 0.750 0.250 0.000
Zr: 0.750 0.750 0.000
W: 0.000 0.000 0.500
W: 0.500 0.500 0.500
Br: 0.000 0.500 0.500
Br: 0.500 0.000 0.500

=====

two) Computed, not measured: a relaxed Zr2WBr crystal at the GGA-PBE level of DFT.

Output
Calculated density: 8.16 g/cm³
Symmetry: Pmmm (47)

Cell lengths 3.303, 3.406, 8.073 Å; angles 90.00, 90.00, 90.00 degrees
Atoms (fractional coordinates):
Zr: 0.000 0.000 0.200
Zr: 0.000 0.000 0.800
W: 0.500 0.500 0.000
Br: 0.500 0.000 0.500

=====

three) Computed, not measured: a relaxed Zr2WBr crystal at the GGA-PBE level of DFT.

Output
Calculated density: 9.16 g/cm³
Symmetry: Fm-3m (225)

Cell lengths 6.865, 6.865, 6.865 Å; angles 90.00, 90.00, 90.00 degrees
Atoms (fractional coordinates):
Zr: 0.250 0.250 0.250
Zr: 0.250 0.250 0.750
Zr: 0.250 0.750 0.250
Zr: 0.250 0.750 0.750
Zr: 0.750 0.250 0.250
Zr: 0.750 0.250 0.750
Zr: 0.750 0.750 0.250
Zr: 0.750 0.750 0.750
W: 0.000 0.000 0.000
W: 0.000 0.500 0.500
W: 0.500 0.000 0.500
W: 0.500 0.500 0.000
Br: 0.000 0.000 0.500
Br: 0.000 0.500 0.000
Br: 0.500 0.000 0.000
Br: 0.500 0.500 0.500

=====

four) Computed, not measured: a relaxed Zr2WBr crystal at the GGA-PBE level of DFT.

Output
Calculated density: 9.19 g/cm³
Symmetry: I4/mmm (139)

Cell lengths 4.579, 4.579, 7.693 Å; angles 90.00, 90.00, 90.00 degrees
Atoms (fractional coordinates):
Zr: 0.000 0.500 0.250
Zr: 0.000 0.500 0.750
Zr: 0.500 0.000 0.250
Zr: 0.500 0.000 0.750
W: 0.000 0.000 0.000
W: 0.500 0.500 0.500
Br: 0.000 0.000 0.500
Br: 0.500 0.500 0.000

=====

Result of the stability comparison: three) is the least stable of them.

=====

one) Computed, not measured: a relaxed Zr2WBr crystal at the GGA-PBE level of DFT.

Output
Calculated density: 8.80 g/cm³
Symmetry: Pmm2 (25)

Cell lengths 3.194, 4.718, 5.587 Å; angles 90.00, 90.00, 90.00 degrees
Atoms (fractional coordinates):
Zr: 0.000 0.000 0.000
Zr: 0.500 0.500 0.499
W: 0.500 0.500 0.999
Br: 0.000 0.000 0.500

=====

two) Computed, not measured: a relaxed Zr2WBr crystal at the GGA-PBE level of DFT.

Output
Calculated density: 8.86 g/cm³
Symmetry: Cmmm (65)

Cell lengths 3.562, 5.321, 8.825 Å; angles 90.00, 90.00, 90.00 degrees
Atoms (fractional coordinates):
Zr: 0.000 0.000 0.231
Zr: 0.000 0.000 0.769
Zr: 0.500 0.500 0.231
Zr: 0.500 0.500 0.769
W: 0.000 0.500 0.000
W: 0.500 0.000 0.000
Br: 0.000 0.500 0.500
Br: 0.500 0.000 0.500

=====

three) Computed, not measured: a relaxed Zr2WBr crystal at the GGA-PBE level of DFT.

Output
Calculated density: 7.34 g/cm³
Symmetry: C2/m (12)

Cell lengths 8.056, 3.255, 8.578 Å; angles 90.00, 116.11, 90.00 degrees
Atoms (fractional coordinates):
Zr: 0.131 0.000 0.316
Zr: 0.369 0.500 0.684
Zr: 0.631 0.500 0.316
Zr: 0.869 0.000 0.684
W: 0.000 0.500 0.500
W: 0.500 0.000 0.500
Br: 0.000 0.500 0.000
Br: 0.500 0.000 0.000

=====

four) Computed, not measured: a relaxed Zr2WBr crystal at the GGA-PBE level of DFT.

Output
Calculated density: 6.51 g/cm³
Symmetry: I-42d (122)

Cell lengths 5.721, 5.721, 13.914 Å; angles 90.00, 90.00, 90.00 degrees
Atoms (fractional coordinates):
Zr: 0.205 0.250 0.125
Zr: 0.250 0.705 0.375
Zr: 0.250 0.795 0.875
Zr: 0.295 0.250 0.625
Zr: 0.705 0.750 0.625
Zr: 0.750 0.205 0.875
Zr: 0.750 0.295 0.375
Zr: 0.795 0.750 0.125
W: 0.000 0.000 0.000
W: 0.000 0.500 0.250
W: 0.500 0.000 0.750
W: 0.500 0.500 0.500
Br: 0.000 0.000 0.500
Br: 0.000 0.500 0.750
Br: 0.500 0.000 0.250
Br: 0.500 0.500 0.000

=====

Result of the stability comparison: four) is the least stable of them.